[1]
Here is an optimized crystal structure of Re2Tc from the Alexandria database. Energies are from PBE.

a b c (Å): 12.247 12.247 12.247
angles (deg): 167.03 167.03 18.38
Element x y z (fractional)
Re 0.172 0.672 0.500
Re 0.328 0.828 0.500
Re 0.422 0.422 0.000
Re 0.578 0.578 0.000
Tc 0.000 0.000 0.000
Tc 0.750 0.250 0.500

Summary:
D(E_F) = 0.674 states/eV/atom
Magnetization = 0.000 μB/atom
Calculated volume = 93 Å³ per cell

[2]
Here is an optimized crystal structure of Re5Tc3 from the Alexandria database. Energies are from PBE.

a b c (Å): 8.056 7.657 7.064
angles (deg): 94.80 97.74 143.48
Element x y z (fractional)
Re 0.592 0.288 0.840
Re 0.996 0.170 0.301
Re 0.741 0.244 0.500
Re 0.407 0.713 0.161
Re 0.003 0.831 0.699
Re 0.747 0.052 0.839
Re 0.804 0.632 0.301
Re 0.195 0.369 0.699
Re 0.252 0.948 0.160
Re 0.257 0.755 0.500
Tc 0.275 0.275 0.049
Tc 0.725 0.726 0.951
Tc 0.173 0.673 0.848
Tc 0.826 0.326 0.152
Tc 0.385 0.254 0.500
Tc 0.615 0.746 0.500

Summary:
D(E_F) = 0.813 states/eV/atom
Magnetization = 0.000 μB/atom
Calculated volume = 243 Å³ per cell

In eV per atom, the energy values for the records above are, in order, -11.4561, -11.4572.